TmPuTh (PBE-GGA, relaxed); excess energy over the best structure of this formula in the dataset = 0.0 meV per atom; E_form = 0.76 eV/atom
1.0
0.000 3.543 3.543
3.543 0.000 3.543
3.543 3.543 0.000
Pu Th Tm
1 1 1
direct
0.000 0.000 0.000
0.250 0.250 0.250
0.750 0.750 0.750